# GGA-PBE BaCa3Bi, optimized geometry
# * ΔE_f: -0.232 eV/atom
# * offset from the most stable computed form: 0 meV per atom
data_BaCa3Bi
_space_group_name_H-M_alt 'P m -3 m'
_space_group_IT_number 221
_space_group_name_Hall '-P 4 2 3'
_cell_length_a 6.2209
_cell_length_b 6.2209
_cell_length_c 6.2209
_cell_angle_alpha 90.00
_cell_angle_beta 90.00
_cell_angle_gamma 90.00
loop_
_atom_site_label
_atom_site_fract_x
_atom_site_fract_y
_atom_site_fract_z
_atom_site_occupancy
Ba1 0.0000 0.0000 0.0000 1
Ca1 0.0000 0.5000 0.5000 1
Bi1 0.5000 0.5000 0.5000 1